(1)
ZrNbTc | Alexandria via LeMat-Bulk | GGA-PBEsol | optimized geometry; total energy = -31.95 eV/f.u.; crystal system = tetragonal; DFT formation energy = -0.256 eV per atom; size of the total moment = 0.0 μB/f.u.; calculated volume = 17.45 Å³ per atom
1.0
-1.608 1.608 5.063
1.608 -1.608 5.063
1.608 1.608 -5.063
Zr Nb Tc
1 1 1
direct
0.000 0.000 0.000
0.689 0.689 0.000
0.333 0.333 0.000

---

(2)
Nb2Te3 | Alexandria via LeMat-Bulk | GGA-PBEsol | optimized geometry; raw formation energy = -0.465 eV per atom; total energy = -34.54 eV/f.u.; crystal system = monoclinic; size of the total moment = 0.0 μB/f.u.; calculated volume = 23.67 Å³ per atom
1.0
7.444 -1.824 0.000
7.444 1.824 0.000
-5.879 0.000 8.715
Nb Te
4 6
direct
0.162 0.162 0.378
0.257 0.257 0.126
0.743 0.743 0.874
0.838 0.838 0.622
0.084 0.084 0.819
0.372 0.372 0.455
0.378 0.378 0.853
0.622 0.622 0.147
0.628 0.628 0.545
0.916 0.916 0.181

---

(3)
TiNbTe3 | Alexandria via LeMat-Bulk | GGA-PBEsol | optimized geometry; raw formation energy = 0.551 eV per atom; total energy = -26.97 eV/f.u.; crystal system = cubic; size of the total moment = 3.3 μB/f.u.; calculated volume = 27.99 Å³ per atom
1.0
5.192 0.000 0.000
0.000 5.192 0.000
0.000 0.000 5.192
Ti Nb Te
1 1 3
direct
0.000 0.000 0.000
0.500 0.500 0.500
0.000 0.000 0.500
0.000 0.500 0.000
0.500 0.000 0.000

---

(4)
TiNbTeW2 | Alexandria via LeMat-Bulk | GGA-PBEsol | optimized geometry; raw formation energy = 1.986 eV per atom; total energy = -40.36 eV/f.u.; crystal system = tetragonal; size of the total moment = 0.0 μB/f.u.; calculated volume = 21.68 Å³ per atom
1.0
4.815 0.000 0.000
0.000 4.815 0.000
0.000 0.000 4.676
Ti Nb Te W
1 1 1 2
direct
0.000 0.000 0.000
0.500 0.500 0.000
0.000 0.000 0.500
0.000 0.500 0.500
0.500 0.000 0.500

---

(5)
Nb6TlTe8 | Alexandria via LeMat-Bulk | GGA-PBEsol | optimized geometry; raw formation energy = -0.461 eV per atom; total energy = -102.69 eV/f.u.; crystal system = trigonal; size of the total moment = 0.0 μB/f.u.; calculated volume = 23.70 Å³ per atom
1.0
10.667 0.000 0.000
-5.333 9.238 0.000
0.000 0.000 3.608
Nb Tl Te
6 1 8
direct
0.102 0.488 0.248
0.386 0.898 0.248
0.488 0.386 0.752
0.512 0.614 0.248
0.614 0.102 0.752
0.898 0.512 0.752
0.000 0.000 0.000
0.066 0.730 0.254
0.270 0.336 0.254
0.333 0.667 0.749
0.336 0.066 0.746
0.664 0.934 0.254
0.667 0.333 0.251
0.730 0.664 0.746
0.934 0.270 0.746

---

(6)
NbTe3W | Alexandria via LeMat-Bulk | GGA-PBEsol | optimized geometry; raw formation energy = 1.385 eV per atom; total energy = -28.28 eV/f.u.; crystal system = cubic; size of the total moment = 4.4 μB/f.u.; calculated volume = 29.67 Å³ per atom
1.0
5.294 0.000 0.000
0.000 5.294 0.000
0.000 0.000 5.294
Nb Te W
1 3 1
direct
0.000 0.000 0.000
0.000 0.000 0.500
0.000 0.500 0.000
0.500 0.000 0.000
0.500 0.500 0.500

---

(7)
Nb6ZnTe8 | Alexandria via LeMat-Bulk | GGA-PBEsol | optimized geometry; raw formation energy = -0.409 eV per atom; total energy = -100.86 eV/f.u.; crystal system = trigonal; size of the total moment = 0.0 μB/f.u.; calculated volume = 23.35 Å³ per atom
1.0
10.592 0.000 0.000
-5.296 9.173 0.000
0.000 0.000 3.606
Nb Zn Te
6 1 8
direct
0.104 0.615 0.250
0.385 0.489 0.250
0.489 0.104 0.750
0.511 0.896 0.250
0.615 0.511 0.750
0.896 0.385 0.750
0.000 0.000 0.000
0.065 0.333 0.249
0.268 0.935 0.249
0.333 0.268 0.751
0.333 0.667 0.750
0.667 0.333 0.250
0.667 0.732 0.249
0.732 0.065 0.751
0.935 0.667 0.751

---

(8)
Ti3Nb | Alexandria via LeMat-Bulk | GGA-PBEsol | optimized geometry; total energy = -35.58 eV/f.u.; crystal system = orthorhombic; DFT formation energy = 0.051 eV per atom; size of the total moment = 0.0 μB/f.u.; calculated volume = 16.77 Å³ per atom
1.0
8.952 0.000 0.000
0.000 1.588 2.360
0.000 -1.588 2.360
Ti Nb
3 1
direct
0.000 0.000 0.000
0.248 0.395 0.395
0.752 0.395 0.395
0.500 0.921 0.921

---

(9)
Ti3Nb | Alexandria via LeMat-Bulk | GGA-PBEsol | optimized geometry; total energy = -35.44 eV/f.u.; crystal system = hexagonal; DFT formation energy = 0.086 eV per atom; size of the total moment = 0.0 μB/f.u.; calculated volume = 16.94 Å³ per atom
1.0
5.766 0.000 0.000
-2.883 4.993 0.000
0.000 0.000 4.708
Ti Nb
6 2
direct
0.166 0.332 0.250
0.166 0.834 0.250
0.332 0.166 0.750
0.668 0.834 0.250
0.834 0.166 0.750
0.834 0.668 0.750
0.333 0.667 0.750
0.667 0.333 0.250

---

(10)
Ti3Nb | Alexandria via LeMat-Bulk | GGA-PBEsol | optimized geometry; total energy = -35.44 eV/f.u.; crystal system = tetragonal; DFT formation energy = 0.088 eV per atom; size of the total moment = 0.0 μB/f.u.; calculated volume = 16.82 Å³ per atom
1.0
-1.950 1.950 4.424
1.950 -1.950 4.424
1.950 1.950 -4.424
Ti Nb
3 1
direct
0.000 0.000 0.000
0.250 0.750 0.500
0.750 0.250 0.500
0.500 0.500 0.000

---

(11)
Ti3Nb | Alexandria via LeMat-Bulk | GGA-PBEsol | optimized geometry; total energy = -35.42 eV/f.u.; crystal system = cubic; DFT formation energy = 0.092 eV per atom; size of the total moment = 0.0 μB/f.u.; calculated volume = 16.90 Å³ per atom
1.0
4.074 0.000 0.000
0.000 4.074 0.000
0.000 0.000 4.074
Ti Nb
3 1
direct
0.000 0.000 0.500
0.000 0.500 0.000
0.500 0.000 0.000
0.500 0.500 0.500

---

(12)
Ti2NbTl2 | Alexandria via LeMat-Bulk | GGA-PBEsol | optimized geometry; total energy = -30.65 eV/f.u.; crystal system = tetragonal; DFT formation energy = 0.415 eV per atom; size of the total moment = 0.0 μB/f.u.; calculated volume = 19.65 Å³ per atom
1.0
-1.888 1.888 6.891
1.888 -1.888 6.891
1.888 1.888 -6.891
Ti Nb Tl
2 1 2
direct
0.250 0.750 0.500
0.750 0.250 0.500
0.000 0.000 0.000
0.400 0.400 0.000
0.600 0.600 0.000

---

(13)
TiNb2W | Alexandria via LeMat-Bulk | GGA-PBEsol | optimized geometry; total energy = -43.76 eV/f.u.; crystal system = cubic; DFT formation energy = 0.002 eV per atom; size of the total moment = 0.0 μB/f.u.; calculated volume = 16.66 Å³ per atom
1.0
0.000 3.218 3.218
3.218 0.000 3.218
3.218 3.218 0.000
Ti Nb W
1 2 1
direct
0.000 0.000 0.000
0.250 0.250 0.250
0.750 0.750 0.750
0.500 0.500 0.500

---

(14)
Ti2Nb2Zn | Alexandria via LeMat-Bulk | GGA-PBEsol | optimized geometry; total energy = -36.94 eV/f.u.; crystal system = tetragonal; DFT formation energy = 0.585 eV per atom; size of the total moment = 0.0 μB/f.u.; calculated volume = 17.79 Å³ per atom
1.0
-1.827 1.827 6.660
1.827 -1.827 6.660
1.827 1.827 -6.660
Ti Nb Zn
2 2 1
direct
0.250 0.750 0.500
0.750 0.250 0.500
0.090 0.090 0.000
0.910 0.910 0.000
0.500 0.500 0.000

---

(15)
Ti3NbZn | Alexandria via LeMat-Bulk | GGA-PBEsol | optimized geometry; total energy = -32.08 eV/f.u.; crystal system = cubic; DFT formation energy = 1.057 eV per atom; size of the total moment = 1.2 μB/f.u.; calculated volume = 20.68 Å³ per atom
1.0
4.693 0.000 0.000
0.000 4.693 0.000
0.000 0.000 4.693
Ti Nb Zn
3 1 1
direct
0.000 0.000 0.500
0.000 0.500 0.000
0.500 0.000 0.000
0.000 0.000 0.000
0.500 0.500 0.500

---

(16)
ZrTiNb2 | Alexandria via LeMat-Bulk | GGA-PBEsol | optimized geometry; total energy = -38.60 eV/f.u.; crystal system = cubic; DFT formation energy = 0.114 eV per atom; size of the total moment = 0.0 μB/f.u.; calculated volume = 18.14 Å³ per atom
1.0
0.000 3.311 3.311
3.311 0.000 3.311
3.311 3.311 0.000
Zr Ti Nb
1 1 2
direct
0.000 0.000 0.000
0.500 0.500 0.500
0.250 0.250 0.250
0.750 0.750 0.750

---

(17)
YNbTlZn2 | Alexandria via LeMat-Bulk | GGA-PBEsol | optimized geometry; total energy = -17.48 eV/f.u.; crystal system = tetragonal; DFT formation energy = 1.191 eV per atom; size of the total moment = 2.7 μB/f.u.; calculated volume = 26.19 Å³ per atom
1.0
4.821 0.000 0.000
0.000 4.821 0.000
0.000 0.000 5.635
Y Nb Tl Zn
1 1 1 2
direct
0.000 0.000 0.000
0.500 0.500 0.000
0.000 0.000 0.500
0.000 0.500 0.500
0.500 0.000 0.500

---

(18)
Nb2VW | Alexandria via LeMat-Bulk | GGA-PBEsol | optimized geometry; total energy = -45.02 eV/f.u.; crystal system = cubic; DFT formation energy = 0.017 eV per atom; size of the total moment = 0.0 μB/f.u.; calculated volume = 16.05 Å³ per atom
1.0
0.000 3.178 3.178
3.178 0.000 3.178
3.178 3.178 0.000
Nb V W
2 1 1
direct
0.250 0.250 0.250
0.750 0.750 0.750
0.000 0.000 0.000
0.500 0.500 0.500

---

(19)
NbW | Alexandria via LeMat-Bulk | GGA-PBEsol | optimized geometry; total energy = -24.70 eV/f.u.; crystal system = orthorhombic; DFT formation energy = -0.038 eV per atom; size of the total moment = 0.0 μB/f.u.; calculated volume = 16.49 Å³ per atom
1.0
1.601 -2.261 0.000
1.601 2.261 0.000
0.000 0.000 4.556
Nb W
1 1
direct
0.000 0.000 0.000
0.500 0.500 0.500

---

(20)
Zr2NbZnW | Alexandria via LeMat-Bulk | GGA-PBEsol | optimized geometry; total energy = -37.91 eV/f.u.; crystal system = tetragonal; DFT formation energy = 1.295 eV per atom; size of the total moment = 0.0 μB/f.u.; calculated volume = 21.10 Å³ per atom
1.0
4.770 0.000 0.000
0.000 4.770 0.000
0.000 0.000 4.636
Zr Nb Zn W
2 1 1 1
direct
0.000 0.500 0.000
0.500 0.000 0.000
0.000 0.000 0.500
0.000 0.000 0.000
0.500 0.500 0.500

---

(21)
YNbZn3 | Alexandria via LeMat-Bulk | GGA-PBEsol | optimized geometry; total energy = -19.56 eV/f.u.; crystal system = cubic; DFT formation energy = 0.565 eV per atom; size of the total moment = 0.0 μB/f.u.; calculated volume = 22.46 Å³ per atom
1.0
4.825 0.000 0.000
0.000 4.825 0.000
0.000 0.000 4.825
Y Nb Zn
1 1 3
direct
0.000 0.000 0.000
0.500 0.500 0.500
0.000 0.500 0.500
0.500 0.000 0.500
0.500 0.500 0.000

---

(22)
NbZn2 | Alexandria via LeMat-Bulk | GGA-PBEsol | optimized geometry; total energy = -14.57 eV/f.u.; crystal system = hexagonal; DFT formation energy = -0.195 eV per atom; size of the total moment = 0.0 μB/f.u.; calculated volume = 14.51 Å³ per atom
1.0
5.010 0.000 0.000
-2.505 4.339 0.000
0.000 0.000 8.010
Nb Zn
4 8
direct
0.333 0.667 0.069
0.333 0.667 0.431
0.667 0.333 0.569
0.667 0.333 0.931
0.000 0.000 0.000
0.000 0.000 0.500
0.173 0.345 0.750
0.173 0.827 0.750
0.345 0.173 0.250
0.655 0.827 0.750
0.827 0.173 0.250
0.827 0.655 0.250

---

(23)
Nd | Alexandria via LeMat-Bulk | GGA-PBEsol | optimized geometry; total energy = -5.14 eV/f.u.; crystal system = hexagonal; DFT formation energy = 0.030 eV per atom; energy relative to the lowest polymorph listed for this composition = 30 meV/atom; size of the total moment = 0.0 μB/f.u.; calculated volume = 33.12 Å³ per atom
1.0
3.607 0.000 0.000
-1.803 3.124 0.000
0.000 0.000 5.879
Nd
2
direct
0.333 0.667 0.250
0.667 0.333 0.750

---

(24)
Nd | Alexandria via LeMat-Bulk | GGA-PBEsol | optimized geometry; total energy = -5.17 eV/f.u.; crystal system = hexagonal; DFT formation energy = 0.000 eV per atom; energy relative to the lowest polymorph listed for this composition = 0 meV/atom; size of the total moment = 0.0 μB/f.u.; calculated volume = 32.99 Å³ per atom
1.0
3.614 0.000 0.000
-1.807 3.130 0.000
0.000 0.000 11.667
Nd
4
direct
0.000 0.000 0.000
0.000 0.000 0.500
0.333 0.667 0.250
0.667 0.333 0.750

---

(25)
Nd | Alexandria via LeMat-Bulk | GGA-PBEsol | optimized geometry; total energy = -5.16 eV/f.u.; crystal system = cubic; DFT formation energy = 0.007 eV per atom; energy relative to the lowest polymorph listed for this composition = 7 meV/atom; size of the total moment = 0.0 μB/f.u.; calculated volume = 32.98 Å³ per atom
1.0
0.000 2.545 2.545
2.545 0.000 2.545
2.545 2.545 0.000
Nd
1
direct
0.000 0.000 0.000

---

(26)
Nd | Alexandria via LeMat-Bulk | GGA-PBEsol | optimized geometry; total energy = -5.16 eV/f.u.; crystal system = trigonal; DFT formation energy = 0.006 eV per atom; energy relative to the lowest polymorph listed for this composition = 6 meV/atom; size of the total moment = 0.0 μB/f.u.; calculated volume = 33.08 Å³ per atom
1.0
1.812 1.046 8.730
-1.812 1.046 8.730
0.000 -2.092 8.730
Nd
3
direct
0.000 0.000 0.000
0.223 0.223 0.223
0.777 0.777 0.777

---

(27)
NdNi2 | Alexandria via LeMat-Bulk | GGA-PBEsol | optimized geometry; total energy = -18.46 eV/f.u.; crystal system = cubic; DFT formation energy = -0.327 eV per atom; size of the total moment = 0.0 μB/f.u.; calculated volume = 15.43 Å³ per atom
1.0
0.000 3.591 3.591
3.591 0.000 3.591
3.591 3.591 0.000
Nd Ni
2 4
direct
0.125 0.125 0.125
0.875 0.875 0.875
0.000 0.500 0.500
0.500 0.000 0.500
0.500 0.500 0.000
0.500 0.500 0.500

---

(28)
NdNi5 | Alexandria via LeMat-Bulk | GGA-PBEsol | optimized geometry; total energy = -37.58 eV/f.u.; crystal system = hexagonal; DFT formation energy = -0.271 eV per atom; size of the total moment = 1.3 μB/f.u.; calculated volume = 13.39 Å³ per atom
1.0
4.874 0.000 0.000
-2.437 4.221 0.000
0.000 0.000 3.906
Nd Ni
1 5
direct
0.000 0.000 0.000
0.000 0.500 0.500
0.333 0.667 0.000
0.500 0.000 0.500
0.500 0.500 0.500
0.667 0.333 0.000